# 1
{
  "formula": "NaSrY2Ir",
  "functional": "PBE-GGA",
  "state": "optimized geometry",
  "final_energy_ev_per_atom": -5.17,
  "space_group": "P4/mmm",
  "cell": [[5.443, 0.000, 0.000], [0.000, 5.443, 0.000], [0.000, 0.000, 6.041]],
  "species": ["Na", "Ir", "Y", "Y", "Sr"],
  "fractional_positions": [[0.500, 0.500, 0.500], [0.000, 0.000, 0.000], [0.500, 0.000, 0.000], [0.000, 0.500, 0.000], [0.000, 0.000, 0.500]]
}



# 2
{
  "formula": "NaSr2ZnIr",
  "functional": "PBE-GGA",
  "state": "optimized geometry",
  "final_energy_ev_per_atom": -3.04,
  "space_group": "P4/mmm",
  "cell": [[5.829, 0.000, 0.000], [0.000, 5.829, 0.000], [0.000, 0.000, 4.989]],
  "species": ["Ir", "Sr", "Zn", "Na", "Sr"],
  "fractional_positions": [[0.000, 0.000, 0.000], [0.000, 0.500, 0.000], [0.000, 0.000, 0.500], [0.500, 0.500, 0.500], [0.500, 0.000, 0.000]]
}



# 3
{
  "formula": "NaTa3Ir",
  "functional": "PBE-GGA",
  "state": "optimized geometry",
  "space_group": "Pm-3m",
  "polymorph_energy_mev_per_atom": 0,
  "cell": [[4.934, 0.000, 0.000], [0.000, 4.934, 0.000], [0.000, 0.000, 4.934]],
  "species": ["Na", "Ta", "Ta", "Ir", "Ta"],
  "fractional_positions": [[0.500, 0.500, 0.500], [0.000, 0.000, 0.500], [0.500, 0.000, 0.000], [0.000, 0.000, 0.000], [0.000, 0.500, 0.000]]
}



Number 1: N(E_F) 3.95 states/eV/cell. Number 2: N(E_F) 3.69 states/eV/cell. Number 3: N(E_F) 4.71 states/eV/cell.